## AlCrAs2S (GGA-PBEsol)

Data for an optimized crystal structure of AlCrAs2S.

a b c (Å): 4.4352 4.4352 4.8309
angles (deg): 90.00 90.00 90.00
Closest atoms and distances in Å follow each position.
Fractional coordinates of all 5 atoms:
Cr1 0.0000 0.0000 0.0000  4 As 2.22, 2 Al 2.42
As1 0.0000 0.5000 0.0000  2 Cr 2.22
As2 0.5000 0.0000 0.0000  2 Cr 2.22
S1 0.5000 0.5000 0.5000  4 Al 3.14, 8 As 3.28
Al1 0.0000 0.0000 0.5000  2 Cr 2.42

ΔE_f (raw): 1.70 eV/f.u.
Volume: 95 Å³/cell